# 1
CaLa3Rh2 | PBE-GGA | relaxed

a = 8.941 Å, b = 8.941 Å, c = 12.546 Å
α = 122.81°, β = 122.81°, γ = 27.36°
Atoms (fractional coordinates):
Ca (0.063, 0.063, 0.193)
Ca (0.937, 0.937, 0.807)
La (0.192, 0.192, 0.565)
La (0.316, 0.316, 0.947)
La (0.441, 0.441, 0.314)
La (0.559, 0.559, 0.686)
La (0.684, 0.684, 0.053)
La (0.808, 0.808, 0.435)
Rh (0.128, 0.128, 0.870)
Rh (0.374, 0.374, 0.614)
Rh (0.626, 0.626, 0.386)
Rh (0.872, 0.872, 0.130)

- Symmetry: C2/m, No. 12
- DOS(E_F): 10.45 states/eV/cell
- E: -69.27 eV per cell
- Total magnetic moment: 0.00 μB per atom
- ΔE_f: -0.52 eV/atom

# 2
CaLaRh | PBE-GGA | relaxed

a = 4.964 Å, b = 4.964 Å, c = 4.964 Å
α = 60.00°, β = 60.00°, γ = 60.00°
Atoms (fractional coordinates):
Ca (0.000, 0.000, 0.000)
La (0.500, 0.500, 0.500)
Rh (0.750, 0.750, 0.750)

- Symmetry: F-43m, No. 216
- DOS(E_F): 1.27 states/eV/cell
- Offset from the most stable computed form: 0.030 eV/atom
- E: -15.57 eV per cell
- Total magnetic moment: 0.00 μB per atom
- ΔE_f: -0.43 eV/atom

ΔE_f of number 2 (CaLaRh)?
-0.43 eV/atom